No. 1
## Mg2BIr2 (PBEsol)

Data for Mg2BIr2 after structural relaxation.

Structure (CIF):
```
data_Mg2BIr2
_cell_length_a 4.3315
_cell_length_b 5.7323
_cell_length_c 5.7323
_cell_angle_alpha 90.00
_cell_angle_beta 90.00
_cell_angle_gamma 90.00
_symmetry_space_group_name_H-M 'P 1'
_symmetry_Int_Tables_number 1
loop_
_symmetry_equiv_pos_as_xyz
'x,y,z'
loop_
_atom_site_label
_atom_site_fract_x
_atom_site_fract_y
_atom_site_fract_z
Ir1 0.0000 0.6603 0.1603
Mg1 0.5000 0.6643 0.8357
B1 0.0000 0.0000 0.0000
Mg2 0.5000 0.3357 0.1643
Mg3 0.5000 0.8357 0.3357
Ir2 0.0000 0.8397 0.6603
Ir3 0.0000 0.1603 0.3397
B2 0.0000 0.5000 0.5000
Mg4 0.5000 0.1643 0.6643
Ir4 0.0000 0.3397 0.8397
```

Space-group type ... P4/mbm, No. 127
E_form ... -0.3840 eV/atom

=====

No. 2
## Mg2SiB2Ir5 (PBEsol)

Data for Mg2SiB2Ir5 after structural relaxation.

Structure (CIF):
```
data_Mg2SiB2Ir5
_cell_length_a 2.8855
_cell_length_b 9.3309
_cell_length_c 9.3309
_cell_angle_alpha 90.00
_cell_angle_beta 90.00
_cell_angle_gamma 90.00
_symmetry_space_group_name_H-M 'P 1'
_symmetry_Int_Tables_number 1
loop_
_symmetry_equiv_pos_as_xyz
'x,y,z'
loop_
_atom_site_label
_atom_site_fract_x
_atom_site_fract_y
_atom_site_fract_z
B1 0.0000 0.3742 0.8742
B2 0.0000 0.6258 0.1258
Ir1 0.5000 0.7093 0.5715
Ir2 0.5000 0.0715 0.2092
Si1 0.0000 0.0000 0.0000
Mg1 0.0000 0.3249 0.1751
Mg2 0.0000 0.1751 0.6751
Ir3 0.5000 0.7907 0.0715
Mg3 0.0000 0.6751 0.8249
Ir4 0.5000 0.2092 0.9285
Ir5 0.5000 0.0000 0.5000
B3 0.0000 0.8742 0.6258
Si2 0.0000 0.5000 0.5000
Ir6 0.5000 0.5000 0.0000
Ir7 0.5000 0.4285 0.7093
Mg4 0.0000 0.8249 0.3249
Ir8 0.5000 0.9285 0.7907
B4 0.0000 0.1258 0.3742
Ir9 0.5000 0.5715 0.2908
Ir10 0.5000 0.2908 0.4285
```

Space-group type ... P4/mbm, No. 127
E_form (uncorrected) ... -0.61 eV per atom

=====

No. 3
## Mg2ZnB2Ir5 (PBEsol)

Data for Mg2ZnB2Ir5 after structural relaxation.

Structure (CIF):
```
data_Mg2ZnB2Ir5
_cell_length_a 2.9163
_cell_length_b 9.3712
_cell_length_c 9.3712
_cell_angle_alpha 90.00
_cell_angle_beta 90.00
_cell_angle_gamma 90.00
_symmetry_space_group_name_H-M 'P 1'
_symmetry_Int_Tables_number 1
loop_
_symmetry_equiv_pos_as_xyz
'x,y,z'
loop_
_atom_site_label
_atom_site_fract_x
_atom_site_fract_y
_atom_site_fract_z
Ir1 0.5000 0.7151 0.4299
B1 0.0000 0.8732 0.3732
Ir2 0.5000 0.0000 0.5000
B2 0.0000 0.1268 0.6268
B3 0.0000 0.6268 0.8732
Ir3 0.5000 0.9299 0.2151
Ir4 0.5000 0.4299 0.2849
Zn1 0.0000 0.5000 0.5000
B4 0.0000 0.3732 0.1268
Ir5 0.5000 0.0701 0.7849
Ir6 0.5000 0.2151 0.0701
Mg1 0.0000 0.8232 0.6768
Mg2 0.0000 0.3232 0.8232
Ir7 0.5000 0.5000 0.0000
Mg3 0.0000 0.6768 0.1768
Ir8 0.5000 0.5701 0.7151
Ir9 0.5000 0.7849 0.9299
Zn2 0.0000 0.0000 0.0000
Mg4 0.0000 0.1768 0.3232
Ir10 0.5000 0.2849 0.5701
```

Space-group type ... P4/mbm, No. 127
E_form ... -0.4419 eV/atom

=====

No. 4
## Mn2B2Ir (PBEsol)

Data for Mn2B2Ir after structural relaxation.

Structure (CIF):
```
data_Mn2B2Ir
_cell_length_a 3.2183
_cell_length_b 5.4812
_cell_length_c 5.4812
_cell_angle_alpha 90.00
_cell_angle_beta 90.00
_cell_angle_gamma 90.00
_symmetry_space_group_name_H-M 'P 1'
_symmetry_Int_Tables_number 1
loop_
_symmetry_equiv_pos_as_xyz
'x,y,z'
loop_
_atom_site_label
_atom_site_fract_x
_atom_site_fract_y
_atom_site_fract_z
B1 0.0000 0.8825 0.6175
B2 0.0000 0.3825 0.8825
B3 0.0000 0.6175 0.1175
Mn1 0.5000 0.6667 0.8333
Mn2 0.5000 0.8333 0.3333
Ir1 0.0000 0.0000 0.0000
Mn3 0.5000 0.1667 0.6667
B4 0.0000 0.1175 0.3825
Ir2 0.0000 0.5000 0.5000
Mn4 0.5000 0.3333 0.1667
```

Space-group type ... P4/mbm, No. 127
E_form ... -0.3027 eV/atom

=====

No. 5
## MnBIr2 (PBEsol)

Data for MnBIr2 after structural relaxation.

Structure (CIF):
```
data_MnBIr2
_cell_length_a 4.9830
_cell_length_b 4.9830
_cell_length_c 6.0039
_cell_angle_alpha 114.52
_cell_angle_beta 114.52
_cell_angle_gamma 90.00
_symmetry_space_group_name_H-M 'P 1'
_symmetry_Int_Tables_number 1
loop_
_symmetry_equiv_pos_as_xyz
'x,y,z'
loop_
_atom_site_label
_atom_site_fract_x
_atom_site_fract_y
_atom_site_fract_z
Ir1 0.6250 0.5849 0.7500
B1 0.5000 0.5000 0.0000
Ir2 0.8349 0.3750 0.2500
Ir3 0.4151 0.8750 0.2500
Mn1 0.0000 0.0000 0.0000
B2 0.7500 0.2500 0.5000
Mn2 0.2500 0.7500 0.5000
Ir4 0.1250 0.1651 0.7500
```

Space-group type ... I-42d, No. 122
E_form ... 0.6118 eV/atom

=====

No. 6
## BIrS2N (PBEsol)

Data for BIrS2N after structural relaxation.

Structure (CIF):
```
data_BIrS2N
_cell_length_a 2.7472
_cell_length_b 4.6082
_cell_length_c 4.6082
_cell_angle_alpha 90.00
_cell_angle_beta 90.00
_cell_angle_gamma 90.00
_symmetry_space_group_name_H-M 'P 1'
_symmetry_Int_Tables_number 1
loop_
_symmetry_equiv_pos_as_xyz
'x,y,z'
loop_
_atom_site_label
_atom_site_fract_x
_atom_site_fract_y
_atom_site_fract_z
S1 0.0000 0.5000 0.0000
N1 0.5000 0.0000 0.0000
Ir1 0.5000 0.5000 0.5000
B1 0.0000 0.0000 0.0000
S2 0.0000 0.0000 0.5000
```

Space-group type ... P4/mmm, No. 123
E_form (uncorrected) ... 0.54 eV per atom

=====

No. 7
## BTe2IrN (PBEsol)

Data for BTe2IrN after structural relaxation.

Structure (CIF):
```
data_BTe2IrN
_cell_length_a 3.6084
_cell_length_b 5.3757
_cell_length_c 5.3757
_cell_angle_alpha 90.00
_cell_angle_beta 90.00
_cell_angle_gamma 90.00
_symmetry_space_group_name_H-M 'P 1'
_symmetry_Int_Tables_number 1
loop_
_symmetry_equiv_pos_as_xyz
'x,y,z'
loop_
_atom_site_label
_atom_site_fract_x
_atom_site_fract_y
_atom_site_fract_z
Te1 0.0000 0.5000 0.0000
N1 0.5000 0.0000 0.0000
Te2 0.0000 0.0000 0.5000
B1 0.5000 0.5000 0.5000
Ir1 0.0000 0.0000 0.0000
```

Space-group type ... P4/mmm, No. 123
E_form (uncorrected) ... 1.12 eV per atom

=====

No. 8
## NaSc2BIr (PBEsol)

Data for NaSc2BIr after structural relaxation.

Structure (CIF):
```
data_NaSc2BIr
_cell_length_a 4.3289
_cell_length_b 4.5549
_cell_length_c 4.5549
_cell_angle_alpha 90.00
_cell_angle_beta 90.00
_cell_angle_gamma 90.00
_symmetry_space_group_name_H-M 'P 1'
_symmetry_Int_Tables_number 1
loop_
_symmetry_equiv_pos_as_xyz
'x,y,z'
loop_
_atom_site_label
_atom_site_fract_x
_atom_site_fract_y
_atom_site_fract_z
B1 0.0000 0.0000 0.0000
Sc1 0.0000 0.0000 0.5000
Na1 0.5000 0.0000 0.0000
Ir1 0.5000 0.5000 0.5000
Sc2 0.0000 0.5000 0.0000
```

Space-group type ... P4/mmm, No. 123
E_form ... 0.4512 eV/atom

=====

No. 9
## NaB2IrSe (PBEsol)

Data for NaB2IrSe after structural relaxation.

Structure (CIF):
```
data_NaB2IrSe
_cell_length_a 4.0126
_cell_length_b 4.0126
_cell_length_c 5.6537
_cell_angle_alpha 90.00
_cell_angle_beta 90.00
_cell_angle_gamma 90.00
_symmetry_space_group_name_H-M 'P 1'
_symmetry_Int_Tables_number 1
loop_
_symmetry_equiv_pos_as_xyz
'x,y,z'
loop_
_atom_site_label
_atom_site_fract_x
_atom_site_fract_y
_atom_site_fract_z
Se1 0.5000 0.5000 0.5000
B1 0.0000 0.5000 0.0000
B2 0.5000 0.0000 0.0000
Na1 0.0000 0.0000 0.5000
Ir1 0.0000 0.0000 0.0000
```

Space-group type ... P4/mmm, No. 123
E_form (uncorrected) ... 0.72 eV per atom

=====

No. 10
## NbB2Ir2 (PBEsol)

Data for NbB2Ir2 after structural relaxation.

Structure (CIF):
```
data_NbB2Ir2
_cell_length_a 3.8001
_cell_length_b 3.8001
_cell_length_c 5.0551
_cell_angle_alpha 112.08
_cell_angle_beta 112.08
_cell_angle_gamma 90.00
_symmetry_space_group_name_H-M 'P 1'
_symmetry_Int_Tables_number 1
loop_
_symmetry_equiv_pos_as_xyz
'x,y,z'
loop_
_atom_site_label
_atom_site_fract_x
_atom_site_fract_y
_atom_site_fract_z
Nb1 0.0000 0.0000 0.0000
Ir1 0.6443 0.6443 0.2886
B1 0.7500 0.2500 0.5000
Ir2 0.3557 0.3557 0.7114
B2 0.2500 0.7500 0.5000
```

Space-group type ... I4/mmm, No. 139
E_form ... -0.1414 eV/atom

=====

Number 1: size of the total moment 0.0 μB per formula unit, E -6.40 eV/atom. Number 2: size of the total moment 0.0 μB per formula unit, E -7.84 eV/atom. Number 3: size of the total moment 0.0 μB per formula unit, E -7.26 eV/atom. Number 4: size of the total moment 4.7 μB per formula unit, E -8.98 eV/atom. Number 5: size of the total moment 0.9 μB per formula unit, E -8.49 eV/atom. Number 6: size of the total moment 0.0 μB per formula unit, E -6.28 eV/atom. Number 7: size of the total moment 0.0 μB per formula unit, E -5.36 eV/atom. Number 8: size of the total moment 0.0 μB per formula unit, E -5.84 eV/atom. Number 9: size of the total moment 0.9 μB per formula unit, E -5.10 eV/atom. Number 10: size of the total moment 0.0 μB per formula unit, E -9.04 eV/atom.